[1]
An optimized crystal structure of NaMnCO4. Source: the Alexandria database, functional PBE with a Hubbard U.

Computed properties:
The calculated volume is 150.56 Å³ per cell. As for the total energy: -6.72 eV per atom. Its crystal system is orthorhombic.

a = 5.210 Å, b = 5.210 Å, c = 6.016 Å
α = 90.00°, β = 90.00°, γ = 112.80°
Positions (direct):
Na (0.000, 0.000, 0.000)
Na (0.000, 0.000, 0.500)
Mn (0.336, 0.664, 0.750)
Mn (0.664, 0.336, 0.250)
C (0.369, 0.631, 0.250)
C (0.631, 0.369, 0.750)
O (0.271, 0.339, 0.250)
O (0.273, 0.727, 0.064)
O (0.273, 0.727, 0.436)
O (0.339, 0.271, 0.750)
O (0.661, 0.729, 0.250)
O (0.727, 0.273, 0.564)
O (0.727, 0.273, 0.936)
O (0.729, 0.661, 0.750)



[2]
An optimized crystal structure of NaMnC2O. Source: the Alexandria database, functional PBE with a Hubbard U.

Computed properties:
The calculated volume is 96.22 Å³ per cell. As for the total energy: -4.95 eV per atom. Its crystal system is tetragonal.

a = 3.685 Å, b = 3.685 Å, c = 7.086 Å
α = 90.00°, β = 90.00°, γ = 90.00°
Positions (direct):
Na (0.000, 0.000, 0.000)
Mn (0.000, 0.000, 0.500)
C (0.000, 0.500, 0.500)
C (0.500, 0.000, 0.500)
O (0.500, 0.500, 0.000)



[3]
An optimized crystal structure of Na3MnC2O6. Source: the Alexandria database, functional PBE with a Hubbard U.

Computed properties:
The calculated volume is 152.88 Å³ per cell. As for the total energy: -6.41 eV per atom. Its crystal system is trigonal.

a = 5.172 Å, b = 5.172 Å, c = 6.598 Å
α = 90.00°, β = 90.00°, γ = 120.00°
Positions (direct):
Na (0.000, 0.000, 0.000)
Na (0.333, 0.667, 0.744)
Na (0.667, 0.333, 0.256)
Mn (0.000, 0.000, 0.500)
C (0.333, 0.667, 0.246)
C (0.667, 0.333, 0.754)
O (0.187, 0.374, 0.255)
O (0.187, 0.813, 0.255)
O (0.374, 0.187, 0.745)
O (0.626, 0.813, 0.255)
O (0.813, 0.187, 0.745)
O (0.813, 0.626, 0.745)



[4]
An optimized crystal structure of NaMnC2O6. Source: the Alexandria database, functional PBE with a Hubbard U.

Computed properties:
The calculated volume is 112.63 Å³ per cell. As for the total energy: -7.23 eV per atom. Its crystal system is trigonal.

a = 6.183 Å, b = 6.183 Å, c = 6.183 Å
α = 46.27°, β = 46.27°, γ = 46.27°
Positions (direct):
Na (0.000, 0.000, 0.000)
Mn (0.500, 0.500, 0.500)
C (0.239, 0.239, 0.239)
C (0.761, 0.761, 0.761)
O (0.037, 0.736, 0.506)
O (0.264, 0.494, 0.963)
O (0.494, 0.963, 0.264)
O (0.506, 0.037, 0.736)
O (0.736, 0.506, 0.037)
O (0.963, 0.264, 0.494)



[5]
An optimized crystal structure of NaMn3C4O12. Source: the Alexandria database, functional PBE with a Hubbard U.

Computed properties:
The calculated volume is 224.86 Å³ per cell. As for the total energy: -7.57 eV per atom. Its crystal system is trigonal.

a = 6.267 Å, b = 6.267 Å, c = 6.267 Å
α = 102.66°, β = 102.66°, γ = 102.66°
Positions (direct):
Na (0.000, 0.000, 0.000)
Mn (0.000, 0.534, 0.466)
Mn (0.466, 0.000, 0.534)
Mn (0.534, 0.466, 0.000)
C (0.037, 0.500, 0.963)
C (0.500, 0.500, 0.500)
C (0.500, 0.963, 0.037)
C (0.963, 0.037, 0.500)
O (0.009, 0.609, 0.812)
O (0.097, 0.903, 0.500)
O (0.188, 0.391, 0.991)
O (0.368, 0.632, 0.500)
O (0.391, 0.991, 0.188)
O (0.500, 0.097, 0.903)
O (0.500, 0.368, 0.632)
O (0.609, 0.812, 0.009)
O (0.632, 0.500, 0.368)
O (0.812, 0.009, 0.609)
O (0.903, 0.500, 0.097)
O (0.991, 0.188, 0.391)



[6]
An optimized crystal structure of Na3MnPCO7. Source: the Alexandria database, functional PBE with a Hubbard U.

Computed properties:
The calculated volume is 325.90 Å³ per cell. As for the total energy: -6.66 eV per atom. Its crystal system is monoclinic. The calculation puts the distance to the lowest polymorph of the same formula at 10 meV per atom.

a = 5.321 Å, b = 6.740 Å, c = 9.087 Å
α = 90.00°, β = 90.18°, γ = 90.00°
Positions (direct):
Na (0.000, 0.000, 0.000)
Na (0.000, 0.500, 0.000)
Na (0.059, 0.251, 0.665)
Na (0.500, 0.001, 0.500)
Na (0.500, 0.501, 0.500)
Na (0.941, 0.751, 0.335)
Mn (0.477, 0.750, 0.794)
Mn (0.523, 0.250, 0.206)
P (0.483, 0.750, 0.158)
P (0.517, 0.250, 0.842)
C (0.000, 0.250, 0.349)
C (0.000, 0.750, 0.651)
O (0.055, 0.750, 0.790)
O (0.178, 0.751, 0.553)
O (0.196, 0.750, 0.135)
O (0.235, 0.251, 0.392)
O (0.376, 0.251, 0.993)
O (0.429, 0.066, 0.751)
O (0.430, 0.435, 0.751)
O (0.570, 0.935, 0.249)
O (0.571, 0.566, 0.249)
O (0.624, 0.751, 0.007)
O (0.765, 0.751, 0.608)
O (0.804, 0.250, 0.865)
O (0.822, 0.251, 0.447)
O (0.945, 0.250, 0.210)



[7]
An optimized crystal structure of Na2MnPCO7. Source: the Alexandria database, functional PBE with a Hubbard U.

Computed properties:
The calculated volume is 315.25 Å³ per cell. As for the total energy: -6.86 eV per atom. Its crystal system is monoclinic. The calculation puts the distance to the lowest polymorph of the same formula at 0 meV per atom.

a = 5.242 Å, b = 6.655 Å, c = 9.038 Å
α = 90.00°, β = 91.14°, γ = 90.00°
Positions (direct):
Na (0.232, 0.008, 0.265)
Na (0.232, 0.492, 0.265)
Na (0.768, 0.508, 0.735)
Na (0.768, 0.992, 0.735)
Mn (0.224, 0.250, 0.858)
Mn (0.776, 0.750, 0.142)
P (0.293, 0.750, 0.926)
P (0.707, 0.250, 0.074)
C (0.281, 0.250, 0.581)
C (0.719, 0.750, 0.419)
O (0.066, 0.250, 0.657)
O (0.167, 0.750, 0.079)
O (0.217, 0.562, 0.835)
O (0.217, 0.938, 0.835)
O (0.277, 0.250, 0.442)
O (0.406, 0.250, 0.051)
O (0.484, 0.250, 0.666)
O (0.516, 0.750, 0.334)
O (0.594, 0.750, 0.949)
O (0.723, 0.750, 0.558)
O (0.783, 0.062, 0.165)
O (0.783, 0.438, 0.165)
O (0.833, 0.250, 0.921)
O (0.934, 0.750, 0.343)



[8]
An optimized crystal structure of Na2MnPCO7. Source: the Alexandria database, functional PBE with a Hubbard U.

Computed properties:
The calculated volume is 628.80 Å³ per cell. As for the total energy: -6.85 eV per atom. Its crystal system is triclinic. The calculation puts the distance to the lowest polymorph of the same formula at 11 meV per atom.

a = 6.587 Å, b = 10.398 Å, c = 10.521 Å
α = 60.80°, β = 88.87°, γ = 88.63°
Positions (direct):
Na (0.000, 0.000, 0.000)
Na (0.000, 0.473, 0.024)
Na (0.012, 0.977, 0.510)
Na (0.482, 0.977, 0.522)
Na (0.499, 0.004, 0.002)
Na (0.508, 0.470, 0.009)
Na (0.723, 0.322, 0.352)
Na (0.983, 0.466, 0.548)
Mn (0.256, 0.583, 0.206)
Mn (0.261, 0.582, 0.699)
Mn (0.748, 0.870, 0.337)
Mn (0.755, 0.874, 0.833)
P (0.247, 0.801, 0.335)
P (0.254, 0.802, 0.834)
P (0.753, 0.660, 0.200)
P (0.755, 0.651, 0.711)
C (0.241, 0.306, 0.367)
C (0.249, 0.306, 0.866)
C (0.747, 0.155, 0.182)
C (0.753, 0.151, 0.662)
O (0.057, 0.899, 0.323)
O (0.064, 0.895, 0.829)
O (0.217, 0.387, 0.427)
O (0.242, 0.654, 0.477)
O (0.243, 0.167, 0.430)
O (0.243, 0.168, 0.932)
O (0.245, 0.774, 0.200)
O (0.246, 0.388, 0.928)
O (0.246, 0.776, 0.697)
O (0.259, 0.382, 0.722)
O (0.260, 0.651, 0.975)
O (0.269, 0.384, 0.222)
O (0.438, 0.891, 0.324)
O (0.444, 0.894, 0.818)
O (0.564, 0.558, 0.741)
O (0.567, 0.564, 0.215)
O (0.739, 0.067, 0.326)
O (0.744, 0.799, 0.568)
O (0.745, 0.812, 0.061)
O (0.748, 0.077, 0.807)
O (0.748, 0.088, 0.106)
O (0.751, 0.066, 0.602)
O (0.753, 0.293, 0.135)
O (0.759, 0.289, 0.590)
O (0.767, 0.685, 0.335)
O (0.771, 0.683, 0.845)
O (0.939, 0.564, 0.202)
O (0.944, 0.558, 0.717)



[9]
An optimized crystal structure of NaMnPCO7. Source: the Alexandria database, functional PBE with a Hubbard U.

Computed properties:
The calculated volume is 601.77 Å³ per cell. As for the total energy: -7.02 eV per atom. Its crystal system is triclinic. The calculation puts the distance to the lowest polymorph of the same formula at 4 meV per atom.

a = 7.896 Å, b = 8.139 Å, c = 10.737 Å
α = 109.89°, β = 104.05°, γ = 100.63°
Positions (direct):
Na (0.027, 0.449, 0.231)
Na (0.321, 0.226, 0.774)
Na (0.679, 0.774, 0.226)
Na (0.973, 0.551, 0.769)
Mn (0.200, 0.941, 0.351)
Mn (0.306, 0.564, 0.649)
Mn (0.694, 0.436, 0.351)
Mn (0.800, 0.059, 0.649)
P (0.047, 0.794, 0.562)
P (0.449, 0.708, 0.439)
P (0.551, 0.292, 0.561)
P (0.953, 0.206, 0.438)
C (0.027, 0.775, 0.104)
C (0.476, 0.718, 0.896)
C (0.524, 0.282, 0.104)
C (0.973, 0.225, 0.896)
O (0.027, 0.248, 0.792)
O (0.060, 0.315, 0.022)
O (0.066, 0.373, 0.576)
O (0.077, 0.124, 0.358)
O (0.168, 0.938, 0.530)
O (0.169, 0.739, 0.670)
O (0.184, 0.903, 0.157)
O (0.311, 0.744, 0.328)
O (0.317, 0.586, 0.841)
O (0.334, 0.566, 0.476)
O (0.429, 0.377, 0.643)
O (0.436, 0.205, 0.978)
O (0.439, 0.119, 0.431)
O (0.477, 0.249, 0.205)
O (0.523, 0.751, 0.795)
O (0.561, 0.881, 0.569)
O (0.564, 0.795, 0.022)
O (0.571, 0.623, 0.357)
O (0.666, 0.434, 0.524)
O (0.683, 0.414, 0.159)
O (0.689, 0.256, 0.672)
O (0.816, 0.097, 0.843)
O (0.831, 0.261, 0.330)
O (0.832, 0.062, 0.470)
O (0.923, 0.876, 0.642)
O (0.934, 0.627, 0.424)
O (0.940, 0.685, 0.978)
O (0.973, 0.752, 0.208)



[10]
An optimized crystal structure of NaMnPCO7. Source: the Alexandria database, functional PBE with a Hubbard U.

Computed properties:
The calculated volume is 303.66 Å³ per cell. As for the total energy: -7.02 eV per atom. Its crystal system is monoclinic. The calculation puts the distance to the lowest polymorph of the same formula at 4 meV per atom.

a = 5.191 Å, b = 6.232 Å, c = 9.389 Å
α = 90.00°, β = 91.21°, γ = 90.00°
Positions (direct):
Na (0.222, 0.000, 0.274)
Na (0.778, 0.500, 0.726)
Mn (0.220, 0.807, 0.850)
Mn (0.780, 0.307, 0.150)
P (0.282, 0.302, 0.936)
P (0.718, 0.802, 0.064)
C (0.302, 0.803, 0.597)
C (0.698, 0.303, 0.403)
O (0.071, 0.800, 0.653)
O (0.132, 0.294, 0.075)
O (0.206, 0.496, 0.840)
O (0.216, 0.111, 0.837)
O (0.347, 0.811, 0.469)
O (0.423, 0.811, 0.028)
O (0.482, 0.796, 0.700)
O (0.518, 0.296, 0.300)
O (0.577, 0.311, 0.972)
O (0.653, 0.311, 0.531)
O (0.784, 0.611, 0.163)
O (0.794, 0.996, 0.160)
O (0.868, 0.794, 0.925)
O (0.929, 0.300, 0.347)



[11]
An optimized crystal structure of NaMnPCO7. Source: the Alexandria database, functional PBE with a Hubbard U.

Computed properties:
The calculated volume is 606.99 Å³ per cell. As for the total energy: -7.02 eV per atom. Its crystal system is triclinic. The calculation puts the distance to the lowest polymorph of the same formula at 0 meV per atom.

a = 6.173 Å, b = 10.288 Å, c = 10.807 Å
α = 62.44°, β = 86.06°, γ = 88.18°
Positions (direct):
Na (0.000, 0.000, 0.000)
Na (0.007, 0.500, 0.001)
Na (0.507, 0.948, 0.563)
Na (0.867, 0.476, 0.545)
Mn (0.177, 0.806, 0.422)
Mn (0.180, 0.308, 0.421)
Mn (0.694, 0.672, 0.125)
Mn (0.695, 0.173, 0.127)
P (0.182, 0.661, 0.212)
P (0.184, 0.159, 0.213)
P (0.693, 0.320, 0.335)
P (0.695, 0.818, 0.334)
C (0.182, 0.142, 0.668)
C (0.189, 0.638, 0.669)
C (0.685, 0.835, 0.878)
C (0.696, 0.338, 0.879)
O (0.007, 0.203, 0.103)
O (0.007, 0.704, 0.100)
O (0.119, 0.519, 0.345)
O (0.129, 0.016, 0.346)
O (0.150, 0.285, 0.613)
O (0.178, 0.055, 0.793)
O (0.179, 0.783, 0.615)
O (0.186, 0.551, 0.794)
O (0.199, 0.790, 0.248)
O (0.201, 0.289, 0.249)
O (0.202, 0.600, 0.566)
O (0.221, 0.105, 0.565)
O (0.390, 0.641, 0.134)
O (0.391, 0.143, 0.133)
O (0.485, 0.341, 0.412)
O (0.487, 0.837, 0.413)
O (0.668, 0.876, 0.978)
O (0.669, 0.189, 0.302)
O (0.671, 0.377, 0.981)
O (0.673, 0.690, 0.298)
O (0.673, 0.918, 0.752)
O (0.699, 0.423, 0.754)
O (0.715, 0.691, 0.934)
O (0.719, 0.194, 0.935)
O (0.755, 0.461, 0.200)
O (0.756, 0.961, 0.203)
O (0.868, 0.280, 0.445)
O (0.868, 0.770, 0.447)



[12]
An optimized crystal structure of Na2MnPCO7. Source: the Alexandria database, functional PBE with a Hubbard U.

Computed properties:
The calculated volume is 628.19 Å³ per cell. As for the total energy: -6.85 eV per atom. Its crystal system is triclinic. The calculation puts the distance to the lowest polymorph of the same formula at 8 meV per atom.

a = 8.451 Å, b = 8.527 Å, c = 10.340 Å
α = 107.36°, β = 108.16°, γ = 103.95°
Positions (direct):
Na (0.000, 0.000, 0.000)
Na (0.005, 0.976, 0.487)
Na (0.178, 0.443, 0.160)
Na (0.260, 0.753, 0.509)
Na (0.289, 0.756, 0.011)
Na (0.525, 0.475, 0.497)
Na (0.550, 0.511, 0.017)
Na (0.741, 0.216, 0.479)
Mn (0.217, 0.432, 0.602)
Mn (0.333, 0.053, 0.900)
Mn (0.706, 0.928, 0.610)
Mn (0.835, 0.550, 0.896)
P (0.088, 0.310, 0.826)
P (0.465, 0.180, 0.675)
P (0.577, 0.790, 0.829)
P (0.962, 0.692, 0.677)
C (0.005, 0.727, 0.177)
C (0.046, 0.269, 0.329)
C (0.500, 0.221, 0.171)
C (0.530, 0.752, 0.325)
O (0.029, 0.444, 0.921)
O (0.051, 0.596, 0.589)
O (0.061, 0.792, 0.094)
O (0.072, 0.794, 0.317)
O (0.102, 0.838, 0.831)
O (0.179, 0.229, 0.929)
O (0.191, 0.418, 0.401)
O (0.234, 0.425, 0.792)
O (0.324, 0.053, 0.706)
O (0.355, 0.073, 0.103)
O (0.364, 0.255, 0.571)
O (0.438, 0.645, 0.672)
O (0.460, 0.679, 0.183)
O (0.465, 0.689, 0.405)
O (0.482, 0.883, 0.911)
O (0.544, 0.062, 0.586)
O (0.547, 0.270, 0.077)
O (0.577, 0.301, 0.310)
O (0.610, 0.326, 0.822)
O (0.675, 0.899, 0.400)
O (0.686, 0.711, 0.922)
O (0.711, 0.922, 0.797)
O (0.825, 0.555, 0.703)
O (0.853, 0.776, 0.585)
O (0.867, 0.573, 0.100)
O (0.935, 0.169, 0.678)
O (0.977, 0.193, 0.192)
O (0.994, 0.219, 0.423)